(1)
La2B10Os PBE relaxed; space group = Pbam (55); raw total energy = -0.537 Ry/atom
1.0
5.806 0.000 0.000
0.000 11.565 0.000
0.000 0.000 4.256
La B Os
4 20 2
Direct
0.219 0.131 0.000 La
0.281 0.631 0.000 La
0.719 0.369 0.000 La
0.781 0.869 0.000 La
0.058 0.308 0.500 B
0.120 0.957 0.500 B
0.135 0.803 0.500 B
0.221 0.382 0.202 B
0.221 0.382 0.798 B
0.279 0.882 0.202 B
0.279 0.882 0.798 B
0.365 0.303 0.500 B
0.380 0.457 0.500 B
0.442 0.808 0.500 B
0.558 0.192 0.500 B
0.620 0.543 0.500 B
0.635 0.697 0.500 B
0.721 0.118 0.202 B
0.721 0.118 0.798 B
0.779 0.618 0.202 B
0.779 0.618 0.798 B
0.865 0.197 0.500 B
0.880 0.043 0.500 B
0.942 0.692 0.500 B
0.000 0.500 0.500 Os
0.500 0.000 0.500 Os

(2)
MnTeS2 PBE relaxed; formation energy from raw total energies = -361 meV per atom; space group = P1 (1); raw total energy = -0.404 Ry/atom
1.0
3.133 0.000 0.000
0.000 5.415 0.000
-1.535 -1.715 11.113
Mn Te S
2 2 4
Direct
0.000 0.000 0.000 Mn
0.496 0.602 0.992 Mn
0.231 0.349 0.450 Te
0.282 0.882 0.554 Te
0.050 0.414 0.102 S
0.446 0.187 0.890 S
0.566 0.925 0.135 S
0.930 0.675 0.857 S

(3)
BaTc2Os PBE relaxed; space group = Pmmm (47); raw total energy = -0.515 Ry/atom
1.0
3.076 0.000 0.000
0.000 4.681 0.000
0.000 0.000 5.220
Ba Tc Os
1 2 1
Direct
0.000 0.000 0.000 Ba
0.000 0.500 0.500 Tc
0.500 0.500 0.000 Tc
0.500 0.000 0.500 Os

| no. | N(E_F) (states/eV/f.u.) |
| --- | --- |
| 1 | 1.7 |
| 2 | 0.8 |
| 3 | 5.6 |